## RbSbAs (PBE)

Data for RbSbAs after structural relaxation.

Cell lengths 11.415, 5.313, 8.274 Å; angles 90.00, 90.00, 90.00 degrees
Positions (direct):
Rb  0.239  0.250  0.052
Rb  0.261  0.750  0.552
Rb  0.739  0.250  0.448
Rb  0.761  0.750  0.948
Sb  0.016  0.250  0.699
Sb  0.484  0.750  0.199
Sb  0.516  0.250  0.801
Sb  0.984  0.750  0.301
As  0.053  0.250  0.385
As  0.447  0.750  0.885
As  0.553  0.250  0.115
As  0.947  0.750  0.615

## Rb2SbAs (PBE)

Data for Rb2SbAs after structural relaxation.

Cell lengths 13.127, 13.127, 5.433 Å; angles 90.00, 90.00, 90.00 degrees
Positions (direct):
Rb  0.049  0.250  0.125
Rb  0.250  0.549  0.375
Rb  0.250  0.951  0.875
Rb  0.451  0.250  0.625
Rb  0.549  0.750  0.625
Rb  0.750  0.049  0.875
Rb  0.750  0.451  0.375
Rb  0.951  0.750  0.125
Sb  0.000  0.000  0.500
Sb  0.000  0.500  0.750
Sb  0.500  0.000  0.250
Sb  0.500  0.500  0.000
As  0.000  0.000  0.000
As  0.000  0.500  0.250
As  0.500  0.000  0.750
As  0.500  0.500  0.500

## Properties
The density of states at the Fermi level comes out at 15.32 states/eV/cell.

## RbSbAs (PBE)

Data for RbSbAs after structural relaxation.

Cell lengths 3.838, 3.838, 12.826 Å; angles 90.00, 90.00, 90.00 degrees
Positions (direct):
Rb  0.000  0.000  0.000
Rb  0.500  0.500  0.500
Sb  0.000  0.000  0.284
Sb  0.500  0.500  0.784
As  0.000  0.000  0.706
As  0.500  0.500  0.206

## Properties
The density of states at the Fermi level comes out at 1.32 states/eV/cell.

## RbSbAs (PBE)

Data for RbSbAs after structural relaxation.

Cell lengths 7.169, 5.516, 7.176 Å; angles 90.00, 115.22, 90.00 degrees
Positions (direct):
Rb  0.165  0.000  0.335
Rb  0.835  0.000  0.665
Sb  0.266  0.500  0.765
Sb  0.734  0.500  0.235
As  0.344  0.500  0.154
As  0.656  0.500  0.846

## Properties
The density of states at the Fermi level comes out at 0.00 states/eV/cell.

no.,electronic total energy (eV per atom),magnetization (Bohr magnetons per cell),ΔE_f (raw) (kcal/mol of atoms)
1,-3.49,0.00,-5.70
2,-2.82,0.00,-3.36
3,-3.50,0.00,-5.86
4,-3.44,0.00,-4.50